The following is a DFT calculation (PBE-GGA) of an optimized crystal structure of Ba2TaCuS5.

Geometry as POSCAR:
```
Ba2TaCuS5
1.0
1.937 -9.091 0.000
1.937 9.091 0.000
0.000 0.000 12.527
Ba Ta Cu S
4 2 2 10
Direct
0.115 0.885 0.500 Ba
0.122 0.878 0.123 Ba
0.878 0.122 0.623 Ba
0.885 0.115 0.000 Ba
0.199 0.801 0.822 Ta
0.801 0.199 0.322 Ta
0.420 0.580 0.250 Cu
0.580 0.420 0.750 Cu
0.070 0.930 0.853 S
0.289 0.711 0.454 S
0.299 0.701 0.185 S
0.335 0.665 0.815 S
0.494 0.506 0.103 S
0.506 0.494 0.603 S
0.665 0.335 0.315 S
0.701 0.299 0.685 S
0.711 0.289 0.954 S
0.930 0.070 0.353 S
```

Computed properties:
DOS(E_F)   3.72 states/eV/cell
V   24.506 Å³/atom
SG   No. 36
Magnetization   0.00 μB per cell
Uncorrected energy   -5.7939 eV/atom
Formation energy without anion corrections   -1.302 eV per atom